A relaxed Sr4Ag3Hg crystal. Source: Alexandria, functional GGA-PBE.

Results
Energy, eV per cell: -18.49
Formation enthalpy at 0 K, eV/atom: -0.364
Crystal system: orthorhombic
Space-group type: Pmm2, No. 25

abc: 4.455 4.865 12.069
angles: 90.00 90.00 90.00
Positions (direct):
Ag1 0.500 0.000 0.925
Ag2 0.000 0.000 0.430
Sr1 0.000 0.500 0.857
Sr2 0.500 0.500 0.362
Hg1 0.500 0.500 0.074
Sr3 0.000 0.000 0.142
Sr4 0.500 0.000 0.639
Ag3 0.000 0.500 0.570